No. 1
Here is a geometry-optimized Er3Pa5As8 structure from Alexandria via LeMat-Bulk. Energies are from PBE-GGA.

Summary:
ΔE_f in meV per atom: -1212

Lattice parameters (Å, degrees): 8.1657 8.1657 20.0228 90.00 90.00 120.00
Space group R-3m (No. 166, hexagonal axes)
Symmetry-distinct sites (fractional):
Er (0.0000, 0.5000, 0.0000) (multiplicity 9)
Pa (0.0000, 0.0000, 0.0000) (multiplicity 3)
Pa (0.0000, 0.0000, 0.5000) (multiplicity 3)
Pa (0.0000, 0.5000, 0.5000) (multiplicity 9)
As (0.0000, 0.0000, 0.2502) (multiplicity 6)
As (0.0016, 0.5008, 0.2508) (multiplicity 18)

No. 2
Here is a geometry-optimized RhPb6Au3 structure from Alexandria via LeMat-Bulk. Energies are from PBE-GGA.

Summary:
ΔE_f in meV per atom: 4

Lattice parameters (Å, degrees): 5.0626 8.5778 12.9214 90.00 112.73 90.00
Space group P2_1/c (No. 14)
Symmetry-distinct sites (fractional):
Rh (0.0000, 0.0000, 0.0000) (multiplicity 2)
Pb (0.0814, 0.1790, 0.5789) (multiplicity 4)
Pb (0.2355, 0.5068, 0.7443) (multiplicity 4)
Pb (0.4261, 0.1592, 0.9208) (multiplicity 4)
Au (0.3033, 0.6612, 0.2949) (multiplicity 4)
Au (0.5000, 0.0000, 0.5000) (multiplicity 2)

No. 3
Here is a geometry-optimized NdSm3Te4 structure from Alexandria via LeMat-Bulk. Energies are from PBE-GGA.

Summary:
Total DFT energy (no corrections) in eV/f.u.: -42.570

Lattice parameters (Å, degrees): 4.3857 4.3857 30.1093 90.00 90.00 120.00
Space group P6_3/mmc (No. 194)
Symmetry-distinct sites (fractional):
Nd (0.3333, 0.6667, 0.2500) (multiplicity 2)
Sm (0.0000, 0.0000, 0.0000) (multiplicity 2)
Sm (0.3333, 0.6667, 0.6230) (multiplicity 4)
Te (0.0000, 0.0000, 0.1849) (multiplicity 4)
Te (0.3333, 0.6667, 0.0618) (multiplicity 4)